Density functional theory data (GGA-PBE) for crystalline Gd2BeCo at its relaxed geometry.

ΔH_f (0 K)	8	meV/atom
spin magnetization	13.87	μB/f.u.

a = 3.417 Å, b = 3.417 Å, c = 6.790 Å
α = 90.00°, β = 90.00°, γ = 90.00°
Site moments in Bohr magnetons follow the coordinates.
Atoms (fractional coordinates):
Gd 0.000 0.000 0.246  -7.15
Be 0.500 0.500 0.500  0.00
Co 0.500 0.500 0.000  0.90
Gd 0.000 0.000 0.754  -7.15

Density functional theory data (GGA-PBE) for crystalline GaHgTeN2 at its relaxed geometry.

spin magnetization	3.21	μB/f.u.
raw formation energy	1.19	eV/atom

a = 4.059 Å, b = 6.082 Å, c = 4.059 Å
α = 90.00°, β = 90.00°, γ = 90.00°
Site moments in Bohr magnetons follow the coordinates.
Atoms (fractional coordinates):
N 0.000 0.000 0.500  1.02
N 0.500 0.000 0.000  1.09
Te 0.000 0.500 0.000  0.14
Ga 0.000 0.000 0.000  -0.04
Hg 0.500 0.500 0.500  0.00

Density functional theory data (GGA-PBE) for crystalline CaSeBr2O at its relaxed geometry.

spin magnetization	0.00	μB/f.u.
raw formation energy	0.22	eV/atom

a = 5.481 Å, b = 5.481 Å, c = 5.889 Å
α = 90.00°, β = 90.00°, γ = 90.00°
Atoms (fractional coordinates):
Se 0.000 0.000 0.500
O 0.500 0.500 0.500
Br 0.000 0.500 0.000
Br 0.500 0.000 0.000
Ca 0.000 0.000 0.000

Density functional theory data (GGA-PBE) for crystalline TcNi2SbH at its relaxed geometry.

spin magnetization	3.93	μB/f.u.
final energy	-24.2	eV per cell

a = 4.768 Å, b = 3.464 Å, c = 4.768 Å
α = 90.00°, β = 90.00°, γ = 90.00°
Site moments in Bohr magnetons follow the coordinates.
Atoms (fractional coordinates):
H 0.000 0.500 0.000  0.00
Ni 0.000 0.000 0.500  0.35
Sb 0.000 0.000 0.000  0.03
Ni 0.500 0.000 0.000  0.35
Tc 0.500 0.500 0.500  2.89

Density functional theory data (GGA-PBE) for crystalline Tl2Cr at its relaxed geometry.

ΔH_f (0 K)	608	meV/atom
spin magnetization	0.19	μB/f.u.

a = 5.560 Å, b = 5.560 Å, c = 5.560 Å
α = 104.70°, β = 104.70°, γ = 119.50°
Site moments in Bohr magnetons follow the coordinates.
Atoms (fractional coordinates):
Tl 0.310 0.190 0.500  -0.01
Cr 0.250 0.250 0.000  0.23
Tl 0.810 0.310 0.121  -0.01
Tl 0.690 0.810 0.500  -0.01
Cr 0.750 0.750 0.000  0.23
Tl 0.190 0.690 0.879  -0.01

Density functional theory data (GGA-PBE) for crystalline Ca2VZnCr at its relaxed geometry.

ΔH_f (0 K)	765	meV/atom
spin magnetization	0.00	μB/f.u.

a = 5.712 Å, b = 4.022 Å, c = 5.712 Å
α = 90.00°, β = 90.00°, γ = 90.00°
Atoms (fractional coordinates):
Zn 0.500 0.500 0.500
Ca 0.000 0.000 0.500
Ca 0.500 0.000 0.000
V 0.000 0.500 0.000
Cr 0.000 0.000 0.000